Version a
Crystalline CuNiMo at its relaxed geometry, computed with GGA-PBE.

It has space group P4/nmm (No. 129, origin choice 2), with a = 3.6683 Å, b = 3.6683 Å, c = 6.2415 Å, α = 90.00°, β = 90.00° and γ = 90.00°. The asymmetric unit holds Cu at (0.2500, 0.2500, 0.1746), Ni at (0.2500, 0.2500, 0.7964) and Mo at (0.2500, 0.7500, 0.5000).

The magnetic moment is 0.00 μB/f.u. As for the density of states at the Fermi level: 5.35 states/eV per cell.

Version b
Crystalline CuNiMo at its relaxed geometry, computed with GGA-PBE.

It has space group Amm2 (No. 38), with a = 3.6145 Å, b = 3.7960 Å, c = 11.2886 Å, α = 90.00°, β = 90.00° and γ = 90.00°. The asymmetric unit holds Cu at (0.0000, 0.0000, 0.0000), Cu at (0.5000, 0.0000, 0.1607), Ni at (0.0000, 0.0000, 0.6671), Ni at (0.5000, 0.0000, 0.8293), Mo at (0.0000, 0.0000, 0.3283) and Mo at (0.5000, 0.0000, 0.4948).

The magnetic moment is 0.00 μB/f.u. As for the density of states at the Fermi level: 8.70 states/eV per cell.

Least stable structure: version a

Version a
Crystalline CuNi3Mo at its relaxed geometry, computed with GGA-PBE.

It has space group C222_1 (No. 20), with a = 8.4480 Å, b = 11.7755 Å, c = 2.5366 Å, α = 90.00°, β = 90.00° and γ = 90.00°. The asymmetric unit holds Cu at (0.1294, 0.0000, 0.0000), Ni at (0.0000, 0.4101, 0.2500), Ni at (0.2364, 0.3398, 0.8291) and Mo at (0.0000, 0.2097, 0.7500).

The magnetic moment is 0.00 μB/f.u. As for the density of states at the Fermi level: 23.81 states/eV per cell.

Version b
Crystalline CuNi3Mo at its relaxed geometry, computed with GGA-PBE.

It has space group Pm-3m (No. 221), with a = 4.2097 Å, b = 4.2097 Å, c = 4.2097 Å, α = 90.00°, β = 90.00° and γ = 90.00°. The asymmetric unit holds Cu at (0.0000, 0.0000, 0.0000), Ni at (0.0000, 0.0000, 0.5000) and Mo at (0.5000, 0.5000, 0.5000).

The magnetic moment is 3.46 μB/f.u. As for the density of states at the Fermi level: 5.52 states/eV per cell.

Least stable structure: version b

Version a
Crystalline CuNi2Mo2 at its relaxed geometry, computed with GGA-PBE.

It has space group I4/mmm (No. 139), with a = 3.4256 Å, b = 3.4256 Å, c = 12.2537 Å, α = 90.00°, β = 90.00° and γ = 90.00°. The asymmetric unit holds Cu at (0.0000, 0.0000, 0.0000), Ni at (0.0000, 0.5000, 0.2500) and Mo at (0.0000, 0.0000, 0.4034).

The magnetic moment is 0.00 μB/f.u. As for the density of states at the Fermi level: 9.71 states/eV per cell.

Version b
Crystalline CuNi2Mo2 at its relaxed geometry, computed with GGA-PBE.

It has space group P4/mbm (No. 127), with a = 7.1336 Å, b = 7.1336 Å, c = 2.6751 Å, α = 90.00°, β = 90.00° and γ = 90.00°. The asymmetric unit holds Cu at (0.0000, 0.0000, 0.0000), Ni at (0.1195, 0.3805, 0.0000) and Mo at (0.1764, 0.6764, 0.5000).

The magnetic moment is 0.00 μB/f.u. As for the density of states at the Fermi level: 6.22 states/eV per cell.

Least stable structure: version a

Version a
Crystalline CuNiMo3 at its relaxed geometry, computed with GGA-PBE.

It has space group Pm-3m (No. 221), with a = 4.4517 Å, b = 4.4517 Å, c = 4.4517 Å, α = 90.00°, β = 90.00° and γ = 90.00°. The asymmetric unit holds Cu at (0.0000, 0.0000, 0.0000), Ni at (0.5000, 0.5000, 0.5000) and Mo at (0.0000, 0.5000, 0.5000).

The magnetic moment is 0.00 μB/f.u. As for the density of states at the Fermi level: 6.91 states/eV per cell.

Version b
Crystalline CuNiMo3 at its relaxed geometry, computed with GGA-PBE.

It has space group Pm-3m (No. 221), with a = 4.4612 Å, b = 4.4612 Å, c = 4.4612 Å, α = 90.00°, β = 90.00° and γ = 90.00°. The asymmetric unit holds Cu at (0.0000, 0.0000, 0.0000), Ni at (0.5000, 0.5000, 0.5000) and Mo at (0.0000, 0.0000, 0.5000).

The magnetic moment is 0.58 μB/f.u. As for the density of states at the Fermi level: 7.44 states/eV per cell.

Least stable structure: version b

Version a
Crystalline CuNi4Mo at its relaxed geometry, computed with GGA-PBE.

It has space group F-43m (No. 216), with a = 6.5852 Å, b = 6.5852 Å, c = 6.5852 Å, α = 90.00°, β = 90.00° and γ = 90.00°. The asymmetric unit holds Cu at (0.0000, 0.0000, 0.0000), Ni at (0.1251, 0.1251, 0.3749) and Mo at (0.2500, 0.2500, 0.7500).

The magnetic moment is 0.00 μB/f.u. As for the density of states at the Fermi level: 23.88 states/eV per cell.

Version b
Crystalline CuNi4Mo at its relaxed geometry, computed with GGA-PBE.

It has space group C2/c (No. 15), with a = 8.1441 Å, b = 7.5355 Å, c = 6.4545 Å, α = 90.00°, β = 128.77° and γ = 90.00°. The asymmetric unit holds Cu at (0.0000, 0.0707, 0.2500), Ni at (0.1218, 0.3653, 0.4811), Ni at (0.2468, 0.1234, 0.7688) and Mo at (0.0000, 0.3113, 0.7500).

The magnetic moment is 0.00 μB/f.u. As for the density of states at the Fermi level: 25.99 states/eV per cell.

Least stable structure: version b